1.
Material: Rb2MnCrS4
Method: DFT, PBE
State: optimized geometry

Structure (CIF):
```
data_Rb2MnCrS4
_cell_length_a 5.4928
_cell_length_b 7.2178
_cell_length_c 12.3403
_cell_angle_alpha 85.14
_cell_angle_beta 77.14
_cell_angle_gamma 67.63
_space_group_name_H-M_alt 'P 1'
_space_group_IT_number 1
loop_
_space_group_symop_operation_xyz
'x,y,z'
loop_
_atom_site_label
_atom_site_type_symbol
_atom_site_fract_x
_atom_site_fract_y
_atom_site_fract_z
_atom_site_occupancy
S1 S 0.5493 0.3164 0.6014 1
S2 S 0.9007 0.8164 0.8986 1
S3 S 0.6157 0.1836 0.1014 1
S4 S 0.2829 0.8164 0.1014 1
S5 S 0.2007 0.1836 0.8986 1
S6 S 0.1343 0.3164 0.3986 1
S7 S 0.4671 0.6836 0.3986 1
S8 S 0.8493 0.6836 0.6014 1
Cr1 Cr 0.0000 0.0000 0.0000 1
Cr2 Cr 0.7500 0.5000 0.5000 1
Rb1 Rb 0.5738 0.5000 0.8524 1
Rb2 Rb 0.9262 0.5000 0.1476 1
Rb3 Rb 0.1762 0.0000 0.6476 1
Rb4 Rb 0.8238 0.0000 0.3524 1
Mn1 Mn 0.2500 0.5000 0.5000 1
Mn2 Mn 0.5000 0.0000 0.0000 1
```

E_form (uncorrected)	-0.933	eV per atom
space-group type	No. 70
total DFT energy (no corrections)	-5.588	eV per atom
total magnetic moment	4.32	μB/cell

***

2.
Material: Rb2MnCrSe4
Method: DFT, PBE
State: optimized geometry

Structure (CIF):
```
data_Rb2MnCrSe4
_cell_length_a 8.3694
_cell_length_b 8.3694
_cell_length_c 8.2320
_cell_angle_alpha 119.44
_cell_angle_beta 119.44
_cell_angle_gamma 90.75
_space_group_name_H-M_alt 'P 1'
_space_group_IT_number 1
loop_
_space_group_symop_operation_xyz
'x,y,z'
loop_
_atom_site_label
_atom_site_type_symbol
_atom_site_fract_x
_atom_site_fract_y
_atom_site_fract_z
_atom_site_occupancy
Se1 Se 0.7781 0.7215 0.5478 1
Se2 Se 0.7785 0.7219 0.9522 1
Se3 Se 0.2215 0.2781 0.0478 1
Se4 Se 0.2219 0.2785 0.4522 1
Se5 Se 0.1792 0.7156 0.9473 1
Se6 Se 0.2156 0.6791 0.4473 1
Se7 Se 0.8209 0.2844 0.0527 1
Se8 Se 0.7844 0.3208 0.5527 1
Cr1 Cr 0.0000 0.5000 0.0000 1
Cr2 Cr 0.0000 0.5000 0.5000 1
Rb1 Rb 0.5000 0.5000 0.0000 1
Rb2 Rb 0.0000 0.0000 0.5000 1
Rb3 Rb 0.5000 0.0000 0.5000 1
Rb4 Rb 0.5000 0.0000 0.0000 1
Mn1 Mn 0.5000 0.5000 0.5000 1
Mn2 Mn 0.0000 0.0000 0.0000 1
```

E_form (uncorrected)	-0.633	eV per atom
space-group type	No. 74
total DFT energy (no corrections)	-4.967	eV per atom
total magnetic moment	14.00	μB/cell

***

3.
Material: RbMnCrSe3
Method: DFT, PBE
State: optimized geometry

Structure (CIF):
```
data_RbMnCrSe3
_cell_length_a 3.9037
_cell_length_b 8.6822
_cell_length_c 10.0409
_cell_angle_alpha 115.19
_cell_angle_beta 90.00
_cell_angle_gamma 90.00
_space_group_name_H-M_alt 'P 1'
_space_group_IT_number 1
loop_
_space_group_symop_operation_xyz
'x,y,z'
loop_
_atom_site_label
_atom_site_type_symbol
_atom_site_fract_x
_atom_site_fract_y
_atom_site_fract_z
_atom_site_occupancy
Se1 Se 0.7500 0.4779 0.1276 1
Se2 Se 0.7500 0.2349 0.5639 1
Se3 Se 0.2500 0.5221 0.8724 1
Se4 Se 0.7500 0.8693 0.1264 1
Se5 Se 0.2500 0.7651 0.4361 1
Se6 Se 0.2500 0.1307 0.8736 1
Cr1 Cr 0.7500 0.3199 0.8502 1
Cr2 Cr 0.2500 0.6801 0.1498 1
Rb1 Rb 0.2500 0.2423 0.2571 1
Rb2 Rb 0.7500 0.7577 0.7429 1
Mn1 Mn 0.7500 0.9086 0.3770 1
Mn2 Mn 0.2500 0.0914 0.6230 1
```

E_form (uncorrected)	-0.716	eV per atom
space-group type	No. 11
total DFT energy (no corrections)	-5.752	eV per atom
total magnetic moment	3.88	μB/cell

***

4.
Material: RbMnCr2Si
Method: DFT, PBE
State: optimized geometry

Structure (CIF):
```
data_RbMnCr2Si
_cell_length_a 4.3363
_cell_length_b 5.2952
_cell_length_c 4.3363
_cell_angle_alpha 90.00
_cell_angle_beta 90.00
_cell_angle_gamma 90.00
_space_group_name_H-M_alt 'P 1'
_space_group_IT_number 1
loop_
_space_group_symop_operation_xyz
'x,y,z'
loop_
_atom_site_label
_atom_site_type_symbol
_atom_site_fract_x
_atom_site_fract_y
_atom_site_fract_z
_atom_site_occupancy
Cr1 Cr 0.5000 0.0000 0.0000 1
Cr2 Cr 0.0000 0.0000 0.5000 1
Rb1 Rb 0.0000 0.5000 0.0000 1
Mn1 Mn 0.0000 0.0000 0.0000 1
Si1 Si 0.5000 0.5000 0.5000 1
```

E_form (uncorrected)	1.933	eV per atom
space-group type	No. 123
total DFT energy (no corrections)	-5.028	eV per atom
total magnetic moment	0.00	μB/cell

***

5.
Material: Rb2MnCrTe4
Method: DFT, PBE
State: optimized geometry

Structure (CIF):
```
data_Rb2MnCrTe4
_cell_length_a 8.9806
_cell_length_b 8.9806
_cell_length_c 8.8298
_cell_angle_alpha 119.45
_cell_angle_beta 119.45
_cell_angle_gamma 90.51
_space_group_name_H-M_alt 'P 1'
_space_group_IT_number 1
loop_
_space_group_symop_operation_xyz
'x,y,z'
loop_
_atom_site_label
_atom_site_type_symbol
_atom_site_fract_x
_atom_site_fract_y
_atom_site_fract_z
_atom_site_occupancy
Rb1 Rb 0.5000 0.0000 0.0000 1
Rb2 Rb 0.0000 0.0000 0.5000 1
Rb3 Rb 0.5000 0.5000 0.0000 1
Rb4 Rb 0.5000 0.0000 0.5000 1
Cr1 Cr 0.0000 0.5000 0.0000 1
Cr2 Cr 0.0000 0.5000 0.5000 1
Te1 Te 0.1803 0.7172 0.9488 1
Te2 Te 0.7772 0.7228 0.5461 1
Te3 Te 0.2172 0.6803 0.4488 1
Te4 Te 0.8197 0.2828 0.0512 1
Te5 Te 0.2228 0.2772 0.0461 1
Te6 Te 0.7828 0.3197 0.5512 1
Te7 Te 0.2228 0.2772 0.4539 1
Te8 Te 0.7772 0.7228 0.9539 1
Mn1 Mn 0.0000 0.0000 0.0000 1
Mn2 Mn 0.5000 0.5000 0.5000 1
```

E_form (uncorrected)	-0.409	eV per atom
space-group type	No. 74
total DFT energy (no corrections)	-4.571	eV per atom
total magnetic moment	13.99	μB/cell

***

6.
Material: RbMnCrTe4
Method: DFT, PBE
State: optimized geometry

Structure (CIF):
```
data_RbMnCrTe4
_cell_length_a 6.9803
_cell_length_b 7.3465
_cell_length_c 11.1692
_cell_angle_alpha 90.00
_cell_angle_beta 124.19
_cell_angle_gamma 90.00
_space_group_name_H-M_alt 'P 1'
_space_group_IT_number 1
loop_
_space_group_symop_operation_xyz
'x,y,z'
loop_
_atom_site_label
_atom_site_type_symbol
_atom_site_fract_x
_atom_site_fract_y
_atom_site_fract_z
_atom_site_occupancy
Cr1 Cr 0.8124 0.7500 0.4588 1
Cr2 Cr 0.1876 0.2500 0.5412 1
Te1 Te 0.0786 0.0024 0.6779 1
Te2 Te 0.6125 0.2500 0.8138 1
Te3 Te 0.9214 0.5024 0.3221 1
Te4 Te 0.3875 0.7500 0.1862 1
Te5 Te 0.9214 0.9976 0.3221 1
Te6 Te 0.0786 0.4976 0.6779 1
Te7 Te 0.6022 0.7500 0.5987 1
Te8 Te 0.3978 0.2500 0.4013 1
Mn1 Mn 0.2226 0.7500 0.3455 1
Mn2 Mn 0.7774 0.2500 0.6545 1
Rb1 Rb 0.6772 0.7500 0.9496 1
Rb2 Rb 0.3228 0.2500 0.0504 1
```

E_form (uncorrected)	-0.267	eV per atom
space-group type	No. 11
total DFT energy (no corrections)	-4.885	eV per atom
total magnetic moment	12.10	μB/cell

***

Repeat the first record exactly.
Material: Rb2MnCrS4
Method: DFT, PBE
State: optimized geometry

Structure (CIF):
```
data_Rb2MnCrS4
_cell_length_a 5.4928
_cell_length_b 7.2178
_cell_length_c 12.3403
_cell_angle_alpha 85.14
_cell_angle_beta 77.14
_cell_angle_gamma 67.63
_space_group_name_H-M_alt 'P 1'
_space_group_IT_number 1
loop_
_space_group_symop_operation_xyz
'x,y,z'
loop_
_atom_site_label
_atom_site_type_symbol
_atom_site_fract_x
_atom_site_fract_y
_atom_site_fract_z
_atom_site_occupancy
S1 S 0.5493 0.3164 0.6014 1
S2 S 0.9007 0.8164 0.8986 1
S3 S 0.6157 0.1836 0.1014 1
S4 S 0.2829 0.8164 0.1014 1
S5 S 0.2007 0.1836 0.8986 1
S6 S 0.1343 0.3164 0.3986 1
S7 S 0.4671 0.6836 0.3986 1
S8 S 0.8493 0.6836 0.6014 1
Cr1 Cr 0.0000 0.0000 0.0000 1
Cr2 Cr 0.7500 0.5000 0.5000 1
Rb1 Rb 0.5738 0.5000 0.8524 1
Rb2 Rb 0.9262 0.5000 0.1476 1
Rb3 Rb 0.1762 0.0000 0.6476 1
Rb4 Rb 0.8238 0.0000 0.3524 1
Mn1 Mn 0.2500 0.5000 0.5000 1
Mn2 Mn 0.5000 0.0000 0.0000 1
```

E_form (uncorrected)	-0.933	eV per atom
space-group type	No. 70
total DFT energy (no corrections)	-5.588	eV per atom
total magnetic moment	4.32	μB/cell